# 1
! Ho4BiSb2Te GGA-PBE optimized geometry; values from VASP
&SYSTEM
  ibrav = 0, nat = 8, ntyp = 4
/
ATOMIC_SPECIES
Ho 164.93 Ho.upf
Bi 208.98 Bi.upf
Sb 121.76 Sb.upf
Te 127.60 Te.upf
ATOMIC_POSITIONS crystal
Ho 0.245 0.000 0.241
Ho 0.251 0.500 0.758
Ho 0.749 0.500 0.242
Ho 0.755 0.000 0.759
Bi 0.000 0.000 0.500
Sb 0.000 0.500 0.000
Sb 0.500 0.000 0.000
Te 0.500 0.500 0.500
CELL_PARAMETERS angstrom
7.585 0.000 0.000
0.000 4.385 0.000
-2.522 0.000 7.165
! - ΔE_f (raw): -1118.5 meV/atom
! - DOS at the Fermi energy: 1.5 states/eV per cell
! - Electronic total energy: -5.3158 eV/atom

# 2
! Ho6Bi3SbTe2 GGA-PBE optimized geometry; values from VASP
&SYSTEM
  ibrav = 0, nat = 12, ntyp = 4
/
ATOMIC_SPECIES
Ho 164.93 Ho.upf
Bi 208.98 Bi.upf
Sb 121.76 Sb.upf
Te 127.60 Te.upf
ATOMIC_POSITIONS crystal
Ho 0.001 0.001 0.256
Ho 0.335 0.335 0.915
Ho 0.337 0.337 0.421
Ho 0.663 0.663 0.579
Ho 0.665 0.665 0.085
Ho 0.999 0.999 0.744
Bi 0.169 0.169 0.333
Bi 0.500 0.500 0.000
Bi 0.831 0.831 0.667
Sb 0.500 0.500 0.500
Te 0.167 0.167 0.834
Te 0.833 0.833 0.166
CELL_PARAMETERS angstrom
9.603 -2.206 0.000
9.603 2.206 0.000
-2.003 0.000 8.568
! - ΔE_f (raw): -1045.8 meV/atom
! - DOS at the Fermi energy: 4.0 states/eV per cell
! - Electronic total energy: -5.1720 eV/atom

# 3
! Ho6Bi2Sb3Te GGA-PBE optimized geometry; values from VASP
&SYSTEM
  ibrav = 0, nat = 12, ntyp = 4
/
ATOMIC_SPECIES
Ho 164.93 Ho.upf
Bi 208.98 Bi.upf
Sb 121.76 Sb.upf
Te 127.60 Te.upf
ATOMIC_POSITIONS crystal
Ho 0.002 0.002 0.243
Ho 0.331 0.331 0.420
Ho 0.335 0.335 0.913
Ho 0.665 0.665 0.087
Ho 0.669 0.669 0.580
Ho 0.998 0.998 0.757
Bi 0.166 0.166 0.832
Bi 0.834 0.834 0.168
Sb 0.166 0.166 0.334
Sb 0.500 0.500 0.000
Sb 0.834 0.834 0.666
Te 0.500 0.500 0.500
CELL_PARAMETERS angstrom
9.567 -2.197 0.000
9.567 2.197 0.000
-2.018 0.000 8.559
! - ΔE_f (raw): -1073.6 meV/atom
! - DOS at the Fermi energy: 1.9 states/eV per cell
! - Electronic total energy: -5.3018 eV/atom

# 4
! Ho6Bi3Sb2Te GGA-PBE optimized geometry; values from VASP
&SYSTEM
  ibrav = 0, nat = 12, ntyp = 4
/
ATOMIC_SPECIES
Ho 164.93 Ho.upf
Bi 208.98 Bi.upf
Sb 121.76 Sb.upf
Te 127.60 Te.upf
ATOMIC_POSITIONS crystal
Ho 0.002 0.002 0.254
Ho 0.332 0.332 0.421
Ho 0.332 0.332 0.911
Ho 0.668 0.668 0.089
Ho 0.668 0.668 0.579
Ho 0.998 0.998 0.746
Bi 0.165 0.165 0.833
Bi 0.500 0.500 0.500
Bi 0.835 0.835 0.167
Sb 0.167 0.167 0.332
Sb 0.833 0.833 0.668
Te 0.500 0.500 0.000
CELL_PARAMETERS angstrom
9.598 -2.205 0.000
9.598 2.205 0.000
-2.015 0.000 8.588
! - ΔE_f (raw): -1021.8 meV/atom
! - DOS at the Fermi energy: 2.0 states/eV per cell
! - Electronic total energy: -5.2298 eV/atom